[1]
The following is a DFT calculation (PBE) of an optimized crystal structure of AlZn2Rh5.

The structure in CIF format:
```
data_AlZn2Rh5
_chemical_formula_sum 'Al2 Zn4 Rh10'
_symmetry_space_group_name_H-M 'P 1'
_symmetry_Int_Tables_number 1
_symmetry_space_group_name_Hall 'P 1'
_cell_length_a 3.9382
_cell_length_b 3.9382
_cell_length_c 14.4361
_cell_angle_alpha 90.00
_cell_angle_beta 90.00
_cell_angle_gamma 90.00
loop_
_atom_site_label
_atom_site_type_symbol
_atom_site_fract_x
_atom_site_fract_y
_atom_site_fract_z
Al1 Al 0.0000 0.0000 0.0000
Al2 Al 0.5000 0.5000 0.5000
Zn1 Zn 0.0000 0.0000 0.2490
Zn2 Zn 0.0000 0.0000 0.7510
Zn3 Zn 0.5000 0.5000 0.2510
Zn4 Zn 0.5000 0.5000 0.7490
Rh1 Rh 0.0000 0.0000 0.5000
Rh2 Rh 0.0000 0.5000 0.1250
Rh3 Rh 0.0000 0.5000 0.3750
Rh4 Rh 0.0000 0.5000 0.6250
Rh5 Rh 0.0000 0.5000 0.8750
Rh6 Rh 0.5000 0.0000 0.1250
Rh7 Rh 0.5000 0.0000 0.3750
Rh8 Rh 0.5000 0.0000 0.6250
Rh9 Rh 0.5000 0.0000 0.8750
Rh10 Rh 0.5000 0.5000 0.0000
```

## Properties
**Calculated total energy**: -5.788 eV/atom
**ΔE_f**: -0.41 eV per atom
**DOS(E_F)**: 0.93 states/eV per atom

---

[2]
The following is a DFT calculation (PBE) of an optimized crystal structure of PaSnRh.

The structure in CIF format:
```
data_PaSnRh
_chemical_formula_sum 'Pa4 Sn4 Rh4'
_symmetry_space_group_name_H-M 'P 1'
_symmetry_Int_Tables_number 1
_symmetry_space_group_name_Hall 'P 1'
_cell_length_a 6.5912
_cell_length_b 6.5912
_cell_length_c 6.5912
_cell_angle_alpha 90.00
_cell_angle_beta 90.00
_cell_angle_gamma 90.00
loop_
_atom_site_label
_atom_site_type_symbol
_atom_site_fract_x
_atom_site_fract_y
_atom_site_fract_z
Pa1 Pa 0.0000 0.0000 0.0000
Pa2 Pa 0.0000 0.5000 0.5000
Pa3 Pa 0.5000 0.0000 0.5000
Pa4 Pa 0.5000 0.5000 0.0000
Sn1 Sn 0.0000 0.0000 0.5000
Sn2 Sn 0.0000 0.5000 0.0000
Sn3 Sn 0.5000 0.0000 0.0000
Sn4 Sn 0.5000 0.5000 0.5000
Rh1 Rh 0.2500 0.2500 0.2500
Rh2 Rh 0.2500 0.7500 0.7500
Rh3 Rh 0.7500 0.2500 0.7500
Rh4 Rh 0.7500 0.7500 0.2500
```

## Properties
**Calculated total energy**: -7.599 eV/atom
**ΔE_f**: -0.65 eV per atom
**DOS(E_F)**: 0.38 states/eV per atom

---

[3]
The following is a DFT calculation (PBE) of an optimized crystal structure of KAc2TcO8.

The structure in CIF format:
```
data_KAc2TcO8
_chemical_formula_sum 'K1 Ac2 Tc1 O8'
_symmetry_space_group_name_H-M 'P 1'
_symmetry_Int_Tables_number 1
_symmetry_space_group_name_Hall 'P 1'
_cell_length_a 4.4749
_cell_length_b 5.4372
_cell_length_c 7.6527
_cell_angle_alpha 90.00
_cell_angle_beta 106.02
_cell_angle_gamma 90.00
loop_
_atom_site_label
_atom_site_type_symbol
_atom_site_fract_x
_atom_site_fract_y
_atom_site_fract_z
K1 K 0.0000 0.0000 0.0000
Ac1 Ac 0.3769 0.5000 0.7109
Ac2 Ac 0.6231 0.5000 0.2891
Tc1 Tc 0.0000 0.0000 0.5000
O1 O 0.1643 0.5000 0.9965
O2 O 0.1899 0.2575 0.3981
O3 O 0.1899 0.7425 0.3981
O4 O 0.3301 0.0000 0.7182
O5 O 0.6699 0.0000 0.2818
O6 O 0.8101 0.2575 0.6019
O7 O 0.8101 0.7425 0.6019
O8 O 0.8357 0.5000 0.0035
```

## Properties
**Calculated total energy**: -7.058 eV/atom
**Raw formation energy**: -2.113 eV/atom

---

[4]
The following is a DFT calculation (PBE) of an optimized crystal structure of NaLa3In4.

The structure in CIF format:
```
data_NaLa3In4
_chemical_formula_sum 'Na1 La3 In4'
_symmetry_space_group_name_H-M 'P 1'
_symmetry_Int_Tables_number 1
_symmetry_space_group_name_Hall 'P 1'
_cell_length_a 9.7484
_cell_length_b 9.7484
_cell_length_c 9.7484
_cell_angle_alpha 32.72
_cell_angle_beta 32.72
_cell_angle_gamma 32.72
loop_
_atom_site_label
_atom_site_type_symbol
_atom_site_fract_x
_atom_site_fract_y
_atom_site_fract_z
Na1 Na 0.0000 0.0000 0.0000
La1 La 0.2559 0.2559 0.2559
La2 La 0.5000 0.5000 0.5000
La3 La 0.7441 0.7441 0.7441
In1 In 0.1251 0.1251 0.1251
In2 In 0.3751 0.3751 0.3751
In3 In 0.6249 0.6249 0.6249
In4 In 0.8749 0.8749 0.8749
```

## Properties
**Calculated total energy**: -3.798 eV/atom
**ΔE_f**: -0.42 eV per atom
**DOS(E_F)**: 0.69 states/eV per atom

---

[5]
The following is a DFT calculation (PBE) of an optimized crystal structure of TcRuSe2.

The structure in CIF format:
```
data_TcRuSe2
_chemical_formula_sum 'Tc3 Ru3 Se6'
_symmetry_space_group_name_H-M 'P 1'
_symmetry_Int_Tables_number 1
_symmetry_space_group_name_Hall 'P 1'
_cell_length_a 3.0909
_cell_length_b 3.0909
_cell_length_c 24.8912
_cell_angle_alpha 90.00
_cell_angle_beta 90.00
_cell_angle_gamma 120.00
loop_
_atom_site_label
_atom_site_type_symbol
_atom_site_fract_x
_atom_site_fract_y
_atom_site_fract_z
Tc1 Tc 0.0000 0.0000 0.0000
Tc2 Tc 0.3333 0.6667 0.6667
Tc3 Tc 0.6667 0.3333 0.3333
Ru1 Ru 0.0000 0.0000 0.5000
Ru2 Ru 0.3333 0.6667 0.1667
Ru3 Ru 0.6667 0.3333 0.8333
Se1 Se 0.0000 0.0000 0.4054
Se2 Se 0.0000 0.0000 0.5946
Se3 Se 0.3333 0.6667 0.0721
Se4 Se 0.3333 0.6667 0.2612
Se5 Se 0.6667 0.3333 0.7388
Se6 Se 0.6667 0.3333 0.9279
```

## Properties
**Distance to the lowest polymorph of the same formula**: 278 meV per atom
**Calculated total energy**: -6.452 eV/atom
**Raw formation energy**: 0.201 eV/atom
**DOS(E_F)**: 1.01 states/eV per atom

---

[6]
The following is a DFT calculation (PBE) of an optimized crystal structure of FeReTc.

The structure in CIF format:
```
data_FeReTc
_chemical_formula_sum 'Fe4 Re4 Tc4'
_symmetry_space_group_name_H-M 'P 1'
_symmetry_Int_Tables_number 1
_symmetry_space_group_name_Hall 'P 1'
_cell_length_a 9.3915
_cell_length_b 8.7892
_cell_length_c 4.6906
_cell_angle_alpha 82.30
_cell_angle_beta 68.04
_cell_angle_gamma 29.67
loop_
_atom_site_label
_atom_site_type_symbol
_atom_site_fract_x
_atom_site_fract_y
_atom_site_fract_z
Fe1 Fe 0.0001 0.0001 0.2499
Fe2 Fe 0.9999 0.9999 0.7501
Fe3 Fe 0.2499 0.2499 0.0001
Fe4 Fe 0.7501 0.7501 0.9999
Re1 Re 0.2998 0.2998 0.4502
Re2 Re 0.4502 0.4502 0.2998
Re3 Re 0.5498 0.5498 0.7002
Re4 Re 0.7002 0.7002 0.5498
Tc1 Tc 0.0429 0.7071 0.0429
Tc2 Tc 0.2929 0.9571 0.2929
Tc3 Tc 0.7071 0.0429 0.7071
Tc4 Tc 0.9571 0.2929 0.9571
```

## Properties
**Distance to the lowest polymorph of the same formula**: 0 meV per atom
**Calculated total energy**: -10.404 eV/atom
**ΔE_f**: 0.02 eV per atom
**DOS(E_F)**: 0.89 states/eV per atom

---

[7]
The following is a DFT calculation (PBE) of an optimized crystal structure of DyH6Rh2.

The structure in CIF format:
```
data_DyH6Rh2
_chemical_formula_sum 'Dy1 H6 Rh2'
_symmetry_space_group_name_H-M 'P 1'
_symmetry_Int_Tables_number 1
_symmetry_space_group_name_Hall 'P 1'
_cell_length_a 4.4528
_cell_length_b 4.4528
_cell_length_c 6.2166
_cell_angle_alpha 114.07
_cell_angle_beta 114.07
_cell_angle_gamma 48.43
loop_
_atom_site_label
_atom_site_type_symbol
_atom_site_fract_x
_atom_site_fract_y
_atom_site_fract_z
Dy1 Dy 0.0000 0.0000 0.0000
H1 H 0.0043 0.0043 0.3536
H2 H 0.2923 0.2923 0.3725
H3 H 0.3136 0.3136 0.9395
H4 H 0.6864 0.6864 0.0605
H5 H 0.7077 0.7077 0.6275
H6 H 0.9957 0.9957 0.6464
Rh1 Rh 0.2019 0.2019 0.6378
Rh2 Rh 0.7981 0.7981 0.3622
```

## Properties
**Distance to the lowest polymorph of the same formula**: 76 meV per atom
**Calculated total energy**: -4.642 eV/atom
**DOS(E_F)**: 0.24 states/eV per atom

---

[8]
The following is a DFT calculation (PBE) of an optimized crystal structure of K2TlTcC.

The structure in CIF format:
```
data_K2TlTcC
_chemical_formula_sum 'K2 Tl1 Tc1 C1'
_symmetry_space_group_name_H-M 'P 1'
_symmetry_Int_Tables_number 1
_symmetry_space_group_name_Hall 'P 1'
_cell_length_a 6.7058
_cell_length_b 6.7058
_cell_length_c 5.3446
_cell_angle_alpha 90.00
_cell_angle_beta 90.00
_cell_angle_gamma 90.00
loop_
_atom_site_label
_atom_site_type_symbol
_atom_site_fract_x
_atom_site_fract_y
_atom_site_fract_z
K1 K 0.0000 0.5000 0.0000
K2 K 0.5000 0.0000 0.0000
Tl1 Tl 0.0000 0.0000 0.0000
Tc1 Tc 0.0000 0.0000 0.5000
C1 C 0.5000 0.5000 0.5000
```

## Properties
**Calculated total energy**: -2.776 eV/atom
**ΔE_f**: 2.05 eV per atom
**DOS(E_F)**: 0.35 states/eV per atom

---

[9]
The following is a DFT calculation (PBE) of an optimized crystal structure of Sm2Dy3UN6.

The structure in CIF format:
```
data_Sm2Dy3UN6
_chemical_formula_sum 'Sm2 Dy3 U1 N6'
_symmetry_space_group_name_H-M 'P 1'
_symmetry_Int_Tables_number 1
_symmetry_space_group_name_Hall 'P 1'
_cell_length_a 6.0618
_cell_length_b 6.0618
_cell_length_c 6.0366
_cell_angle_alpha 99.66
_cell_angle_beta 99.66
_cell_angle_gamma 119.97
loop_
_atom_site_label
_atom_site_type_symbol
_atom_site_fract_x
_atom_site_fract_y
_atom_site_fract_z
Sm1 Sm 0.1665 0.8335 0.0000
Sm2 Sm 0.8335 0.1665 0.0000
Dy1 Dy 0.0000 0.0000 0.5000
Dy2 Dy 0.3335 0.6665 0.5000
Dy3 Dy 0.6665 0.3335 0.5000
U1 U 0.5000 0.5000 0.0000
N1 N 0.1102 0.4179 0.7545
N2 N 0.2740 0.2740 0.2422
N3 N 0.4179 0.1102 0.7545
N4 N 0.5821 0.8898 0.2455
N5 N 0.7260 0.7260 0.7578
N6 N 0.8898 0.5821 0.2455
```

## Properties
**Calculated total energy**: -8.648 eV/atom
**Raw formation energy**: -1.608 eV/atom
**DOS(E_F)**: 0.41 states/eV per atom

---

Q: Number 5 is which compound?
A: TcRuSe2

---

Q: Look up the calculated total energy of the fourth one.
A: -3.798 eV/atom

---

Repeat the first record exactly.
The following is a DFT calculation (PBE) of an optimized crystal structure of AlZn2Rh5.

The structure in CIF format:
```
data_AlZn2Rh5
_chemical_formula_sum 'Al2 Zn4 Rh10'
_symmetry_space_group_name_H-M 'P 1'
_symmetry_Int_Tables_number 1
_symmetry_space_group_name_Hall 'P 1'
_cell_length_a 3.9382
_cell_length_b 3.9382
_cell_length_c 14.4361
_cell_angle_alpha 90.00
_cell_angle_beta 90.00
_cell_angle_gamma 90.00
loop_
_atom_site_label
_atom_site_type_symbol
_atom_site_fract_x
_atom_site_fract_y
_atom_site_fract_z
Al1 Al 0.0000 0.0000 0.0000
Al2 Al 0.5000 0.5000 0.5000
Zn1 Zn 0.0000 0.0000 0.2490
Zn2 Zn 0.0000 0.0000 0.7510
Zn3 Zn 0.5000 0.5000 0.2510
Zn4 Zn 0.5000 0.5000 0.7490
Rh1 Rh 0.0000 0.0000 0.5000
Rh2 Rh 0.0000 0.5000 0.1250
Rh3 Rh 0.0000 0.5000 0.3750
Rh4 Rh 0.0000 0.5000 0.6250
Rh5 Rh 0.0000 0.5000 0.8750
Rh6 Rh 0.5000 0.0000 0.1250
Rh7 Rh 0.5000 0.0000 0.3750
Rh8 Rh 0.5000 0.0000 0.6250
Rh9 Rh 0.5000 0.0000 0.8750
Rh10 Rh 0.5000 0.5000 0.0000
```

## Properties
**Calculated total energy**: -5.788 eV/atom
**ΔE_f**: -0.41 eV per atom
**DOS(E_F)**: 0.93 states/eV per atom

---

Q: Number 9 is which compound?
A: Sm2Dy3UN6